(1)
Below is a geometry-optimized HW3 structure, with properties calculated at the PBE level.

Cell lengths 2.6454, 2.6858, 7.5688 Å; angles 90.00, 90.00, 90.00 degrees
Atoms (fractional coordinates):
H1 0.0000 0.0000 0.0000
W1 0.0000 0.5000 0.1872
W2 0.5000 0.0000 0.4945
W3 0.5000 0.5000 0.8249

Output
DOS at the Fermi energy = 0.602 states/eV per atom
Relative energy among the computed polymorphs = 177.9 meV/atom
Raw total energy = -39.360 eV/cell
Magnetization = 0.00 μB per formula unit

---

(2)
Below is a geometry-optimized AcPm3 structure, with properties calculated at the PBE level.

Cell lengths 6.9371, 3.6369, 11.8423 Å; angles 90.00, 91.77, 90.00 degrees
Atoms (fractional coordinates):
Ac1 0.1114 0.2500 0.1269
Ac2 0.8886 0.7500 0.8731
Pm1 0.1378 0.7500 0.6115
Pm2 0.3751 0.2500 0.3923
Pm3 0.3917 0.2500 0.8603
Pm4 0.6083 0.7500 0.1397
Pm5 0.6249 0.7500 0.6077
Pm6 0.8622 0.2500 0.3885

Output
DOS at the Fermi energy = 1.568 states/eV per atom
ΔH_f (0 K) = 0.49 eV per formula unit
Relative energy among the computed polymorphs = 93.9 meV/atom
Raw total energy = -35.738 eV/cell
Magnetization = 0.00 μB per formula unit

---

(3)
Below is a geometry-optimized LiNiB2 structure, with properties calculated at the PBE level.

Cell lengths 3.0803, 5.3944, 5.1955 Å; angles 90.00, 107.20, 90.00 degrees
Atoms (fractional coordinates):
Li1 0.0802 0.2500 0.1593
Li2 0.9198 0.7500 0.8407
Ni1 0.3473 0.2500 0.6951
Ni2 0.6527 0.7500 0.3049
B1 0.2520 0.5858 0.5041
B2 0.2520 0.9142 0.5041
B3 0.7480 0.0858 0.4959
B4 0.7480 0.4142 0.4959

Output
DOS at the Fermi energy = 0.491 states/eV per atom
ΔH_f (0 K) = -0.49 eV per formula unit
Relative energy among the computed polymorphs = 0.0 meV/atom
Raw total energy = -43.074 eV/cell
Magnetization = 0.00 μB per formula unit

---

(4)
Below is a geometry-optimized KPtPb structure, with properties calculated at the PBE level.

Cell lengths 6.7867, 6.7867, 6.7867 Å; angles 148.76, 148.60, 44.88 degrees
Atoms (fractional coordinates):
K1 0.0000 0.0000 0.0000
Pt1 0.6893 0.6893 0.0000
Pb1 0.2820 0.2820 0.0000

Output
DOS at the Fermi energy = 0.491 states/eV per atom
ΔH_f (0 K) = -0.48 eV per formula unit
Raw total energy = -11.325 eV/cell
Magnetization = 0.00 μB per formula unit

---

Q: The highest DOS at the Fermi energy belongs to which entry?
A: AcPm3

---

Q: The highest DOS at the Fermi energy belongs to which entry?
A: AcPm3

---

Q: Which of these has the lowest raw total energy?
A: LiNiB2

---

Q: raw total energy of number 1 (HW3)?
A: -39.360 eV/cell